A plane-wave DFT calculation with PBE was carried out for crystalline CaIrO2F at its relaxed geometry.

Summary:
Symmetry = P4/mmm
Spin magnetization = 0.07 μB per cell
DOS at the Fermi energy = 0.407 states/eV/atom
E = -29.7 eV/cell
Uncorrected formation energy = -1.409 eV per atom

a = 3.9085 Å, b = 3.9085 Å, c = 4.5834 Å
α = 90.00°, β = 90.00°, γ = 90.00°
Fractional coordinates of all 5 atoms:
Ca (0.5000, 0.5000, 0.5000)
Ir (0.0000, 0.0000, 0.0000)
O (0.0000, 0.5000, 0.0000)
O (0.5000, 0.0000, 0.0000)
F (0.0000, 0.0000, 0.5000)



A plane-wave DFT calculation with PBE was carried out for crystalline CaIrO2F at its relaxed geometry.

Summary:
Symmetry = P4/mmm
Spin magnetization = 4.04 μB per cell
DOS at the Fermi energy = 1.165 states/eV/atom
E = -23.7 eV/cell
Uncorrected formation energy = -0.208 eV per atom

a = 4.3792 Å, b = 4.3792 Å, c = 4.1385 Å
α = 90.00°, β = 90.00°, γ = 90.00°
Fractional coordinates of all 5 atoms:
Ca (0.0000, 0.0000, 0.0000)
Ir (0.5000, 0.5000, 0.5000)
O (0.0000, 0.5000, 0.0000)
O (0.5000, 0.0000, 0.0000)
F (0.0000, 0.0000, 0.5000)



A plane-wave DFT calculation with PBE was carried out for crystalline Ca3IrO6F2 at its relaxed geometry.

Summary:
Symmetry = C2/m
Spin magnetization = 0.83 μB per cell
DOS at the Fermi energy = 0.405 states/eV/atom
E = -73.4 eV/cell
Uncorrected formation energy = -2.088 eV per atom

a = 4.7107 Å, b = 6.6049 Å, c = 6.5786 Å
α = 120.13°, β = 89.62°, γ = 90.00°
Fractional coordinates of all 12 atoms:
Ca (0.0000, 0.5000, 0.0000)
Ca (0.5000, 0.5000, 0.5000)
Ca (0.5000, 0.0000, 0.5000)
Ir (0.5000, 0.0000, 0.0000)
O (0.7299, 0.2732, 0.1324)
O (0.2701, 0.7268, 0.8676)
O (0.7183, 0.8575, 0.7151)
O (0.2817, 0.1425, 0.2849)
O (0.2701, 0.1408, 0.8676)
O (0.7299, 0.8592, 0.1324)
F (0.2565, 0.6645, 0.3291)
F (0.7435, 0.3355, 0.6709)



A plane-wave DFT calculation with PBE was carried out for crystalline CaIrS2F at its relaxed geometry.

Summary:
Symmetry = P4/mmm
Spin magnetization = 0.00 μB per cell
DOS at the Fermi energy = 0.768 states/eV/atom
E = -24.9 eV/cell
Uncorrected formation energy = -0.780 eV per atom

a = 4.4306 Å, b = 5.9596 Å, c = 4.4306 Å
α = 90.00°, β = 90.00°, γ = 90.00°
Fractional coordinates of all 5 atoms:
Ca (0.0000, 0.5000, 0.0000)
Ir (0.0000, 0.0000, 0.0000)
S (0.0000, 0.0000, 0.5000)
S (0.5000, 0.0000, 0.0000)
F (0.5000, 0.5000, 0.5000)



A plane-wave DFT calculation with PBE was carried out for crystalline Ca2SnIrF at its relaxed geometry.

Summary:
Symmetry = P4/mmm
Spin magnetization = 0.00 μB per cell
DOS at the Fermi energy = 0.815 states/eV/atom
E = -18.6 eV/cell
Uncorrected formation energy = 0.030 eV per atom

a = 5.8813 Å, b = 4.2733 Å, c = 5.8813 Å
α = 90.00°, β = 90.00°, γ = 90.00°
Fractional coordinates of all 5 atoms:
Ca (0.0000, 0.0000, 0.5000)
Ca (0.5000, 0.0000, 0.0000)
Ir (0.5000, 0.5000, 0.5000)
Sn (0.0000, 0.0000, 0.0000)
F (0.0000, 0.5000, 0.0000)



A plane-wave DFT calculation with PBE was carried out for crystalline CaSn2IrF at its relaxed geometry.

Summary:
Symmetry = P4/mmm
Spin magnetization = 0.30 μB per cell
DOS at the Fermi energy = 0.665 states/eV/atom
E = -20.2 eV/cell
Uncorrected formation energy = 0.103 eV per atom

a = 5.7473 Å, b = 5.7473 Å, c = 3.9491 Å
α = 90.00°, β = 90.00°, γ = 90.00°
Fractional coordinates of all 5 atoms:
Ca (0.0000, 0.0000, 0.0000)
Ir (0.5000, 0.5000, 0.5000)
Sn (0.0000, 0.5000, 0.0000)
Sn (0.5000, 0.0000, 0.0000)
F (0.0000, 0.0000, 0.5000)



A plane-wave DFT calculation with PBE was carried out for crystalline CaTlIr2F at its relaxed geometry.

Summary:
Symmetry = P4/mmm
Spin magnetization = 1.46 μB per cell
DOS at the Fermi energy = 1.362 states/eV/atom
E = -21.3 eV/cell
Uncorrected formation energy = 0.538 eV per atom

a = 5.1768 Å, b = 4.0820 Å, c = 5.1768 Å
α = 90.00°, β = 90.00°, γ = 90.00°
Fractional coordinates of all 5 atoms:
Tl (0.5000, 0.5000, 0.5000)
Ir (0.0000, 0.0000, 0.5000)
Ir (0.5000, 0.0000, 0.0000)
Ca (0.0000, 0.0000, 0.0000)
F (0.0000, 0.5000, 0.0000)



A plane-wave DFT calculation with PBE was carried out for crystalline CaYIr2F at its relaxed geometry.

Summary:
Symmetry = P4/mmm
Spin magnetization = 0.00 μB per cell
DOS at the Fermi energy = 0.835 states/eV/atom
E = -23.9 eV/cell
Uncorrected formation energy = 0.834 eV per atom

a = 4.8727 Å, b = 4.8727 Å, c = 6.9163 Å
α = 90.00°, β = 90.00°, γ = 90.00°
Fractional coordinates of all 5 atoms:
Y (0.0000, 0.0000, 0.0000)
Ca (0.0000, 0.0000, 0.5000)
Ir (0.0000, 0.5000, 0.0000)
Ir (0.5000, 0.0000, 0.0000)
F (0.5000, 0.5000, 0.5000)



Please write out number 7 again, unchanged.
A plane-wave DFT calculation with PBE was carried out for crystalline CaTlIr2F at its relaxed geometry.

Summary:
Symmetry = P4/mmm
Spin magnetization = 1.46 μB per cell
DOS at the Fermi energy = 1.362 states/eV/atom
E = -21.3 eV/cell
Uncorrected formation energy = 0.538 eV per atom

a = 5.1768 Å, b = 4.0820 Å, c = 5.1768 Å
α = 90.00°, β = 90.00°, γ = 90.00°
Fractional coordinates of all 5 atoms:
Tl (0.5000, 0.5000, 0.5000)
Ir (0.0000, 0.0000, 0.5000)
Ir (0.5000, 0.0000, 0.0000)
Ca (0.0000, 0.0000, 0.0000)
F (0.0000, 0.5000, 0.0000)



What did the first record say?
A plane-wave DFT calculation with PBE was carried out for crystalline CaIrO2F at its relaxed geometry.

Summary:
Symmetry = P4/mmm
Spin magnetization = 0.07 μB per cell
DOS at the Fermi energy = 0.407 states/eV/atom
E = -29.7 eV/cell
Uncorrected formation energy = -1.409 eV per atom

a = 3.9085 Å, b = 3.9085 Å, c = 4.5834 Å
α = 90.00°, β = 90.00°, γ = 90.00°
Fractional coordinates of all 5 atoms:
Ca (0.5000, 0.5000, 0.5000)
Ir (0.0000, 0.0000, 0.0000)
O (0.0000, 0.5000, 0.0000)
O (0.5000, 0.0000, 0.0000)
F (0.0000, 0.0000, 0.5000)



Repeat the second record exactly.
A plane-wave DFT calculation with PBE was carried out for crystalline CaIrO2F at its relaxed geometry.

Summary:
Symmetry = P4/mmm
Spin magnetization = 4.04 μB per cell
DOS at the Fermi energy = 1.165 states/eV/atom
E = -23.7 eV/cell
Uncorrected formation energy = -0.208 eV per atom

a = 4.3792 Å, b = 4.3792 Å, c = 4.1385 Å
α = 90.00°, β = 90.00°, γ = 90.00°
Fractional coordinates of all 5 atoms:
Ca (0.0000, 0.0000, 0.0000)
Ir (0.5000, 0.5000, 0.5000)
O (0.0000, 0.5000, 0.0000)
O (0.5000, 0.0000, 0.0000)
F (0.0000, 0.0000, 0.5000)